No. 1
VASP calculation (PBE) on a relaxed structure of VCd2Bi.

Values from the calculation:
size of the total moment = 0.5690 μB per atom
ΔH_f (0 K) = 0.4935 eV/atom
E_tot = -12.9 eV per formula unit
calculated density = 8.14 g cm⁻³

Cell: 6.5703 6.5703 6.5703 Å, 100.43 100.43 129.63°
Positions (direct):
1 V 0.0000 0.0000 0.0000
2 V 0.7500 0.2500 0.5000
3 Cd 0.0991 0.6250 0.9741
4 Cd 0.3750 0.3491 0.4741
5 Cd 0.6509 0.1250 0.0259
6 Cd 0.8750 0.9009 0.5259
7 Bi 0.2500 0.7500 0.5000
8 Bi 0.5000 0.5000 0.0000



No. 2
VASP calculation (PBE) on a relaxed structure of NdSm6Er4.

Values from the calculation:
size of the total moment = 0.0001 μB per atom
offset from the most stable computed form = 0.000 eV per atom
ΔH_f (0 K) = 0.1174 eV/atom
E_tot = -50.0 eV per formula unit
calculated density = 7.86 g cm⁻³

Cell: 5.6390 5.6390 25.7966 Å, 90.00 90.00 117.93°
Positions (direct):
1 Nd 0.2076 0.7924 0.7500
2 Nd 0.7924 0.2076 0.2500
3 Sm 0.1257 0.8743 0.1808
4 Sm 0.1257 0.8743 0.3192
5 Sm 0.1995 0.8005 0.5999
6 Sm 0.1995 0.8005 0.9001
7 Sm 0.4549 0.5451 0.2500
8 Sm 0.5000 0.5000 0.0000
9 Sm 0.5000 0.5000 0.5000
10 Sm 0.5451 0.4549 0.7500
11 Sm 0.8005 0.1995 0.0999
12 Sm 0.8005 0.1995 0.4001
13 Sm 0.8743 0.1257 0.6808
14 Sm 0.8743 0.1257 0.8192
15 Er 0.1511 0.8489 0.0433
16 Er 0.1511 0.8489 0.4567
17 Er 0.4582 0.5418 0.1229
18 Er 0.4582 0.5418 0.3771
19 Er 0.5418 0.4582 0.6229
20 Er 0.5418 0.4582 0.8771
21 Er 0.8489 0.1511 0.5433
22 Er 0.8489 0.1511 0.9567



Question: What is the formula in the second record?
Answer: NdSm6Er4



Question: Look up the calculated density of the first one.
Answer: 8.14 g cm⁻³



Question: Which formula does entry 2 have?
Answer: NdSm6Er4